# 1
This record from Alexandria via LeMat-Bulk describes a relaxed structure of PaWBr. The functional is PBE.

The structure in POSCAR format:
```
PaWBr
1.0
-2.619 -2.312 -0.891
-0.595 -5.599 1.160
-3.576 13.033 6.748
W Pa Br
2 2 2
Cartesian
-2.321 3.024 1.737 W
-3.227 -4.210 0.713 W
-2.871 0.338 2.707 Pa
-2.677 -1.524 -0.257 Pa
-3.955 4.255 3.507 Br
-5.169 7.592 5.690 Br
```

Calculated values
calculated total energy	-8.19	eV per atom
E_form (uncorrected)	-0.15	eV/atom
space-group type	P-1 (2)

=====

# 2
This record from Alexandria via LeMat-Bulk describes a relaxed structure of Al4CuNi15. The functional is PBE.

The structure in POSCAR format:
```
Al4CuNi15
1.0
-1.240 2.379 -2.335
-3.292 -0.483 1.256
2.624 13.041 11.892
Al Cu Ni
4 1 15
Cartesian
0.523 2.600 2.371 Al
1.050 5.217 4.757 Al
1.574 7.824 7.134 Al
2.101 10.441 9.521 Al
0.000 0.000 0.000 Cu
-2.266 0.948 -0.540 Ni
-1.743 3.547 1.831 Ni
-1.218 6.156 4.209 Ni
-0.690 8.781 6.603 Ni
-0.165 11.390 8.982 Ni
-0.360 2.483 0.012 Ni
0.166 5.093 2.392 Ni
0.692 7.710 4.778 Ni
1.218 10.327 7.164 Ni
1.744 12.936 9.544 Ni
-1.386 1.053 1.808 Ni
-0.861 3.662 4.188 Ni
-0.334 6.279 6.574 Ni
0.192 8.896 8.960 Ni
0.717 11.506 11.340 Ni
```

Calculated values
calculated total energy	-5.62	eV per atom
space-group type	P4/mmm (123)

=====

# 3
This record from Alexandria via LeMat-Bulk describes a relaxed structure of Sm2ErPu. The functional is PBE.

The structure in POSCAR format:
```
Sm2ErPu
1.0
3.529 0.000 0.000
0.000 3.529 0.000
0.000 0.000 10.089
Er Sm Pu
1 2 1
Cartesian
1.765 1.765 5.045 Er
0.000 0.000 7.598 Sm
0.000 0.000 2.491 Sm
1.765 1.765 0.000 Pu
```

Calculated values
calculated total energy	-6.98	eV per atom
space-group type	P4/mmm (123)
ΔE to the lowest computed polymorph	0.000	eV/atom

=====

# 4
This record from Alexandria via LeMat-Bulk describes a relaxed structure of LiPmTh2Te4. The functional is PBE.

The structure in POSCAR format:
```
LiPmTh2Te4
1.0
4.254 0.000 0.000
0.000 7.396 0.150
0.000 -2.571 7.680
Li Pm Th Te
1 1 2 4
Cartesian
0.000 0.000 0.000 Li
2.127 3.698 0.075 Pm
2.127 -1.285 3.840 Th
0.000 2.413 3.915 Th
2.127 1.136 1.826 Te
2.127 3.690 6.004 Te
0.000 -0.176 5.896 Te
0.000 5.001 1.935 Te
```

Calculated values
calculated total energy	-5.41	eV per atom
E_form (uncorrected)	-1.15	eV/atom
space-group type	P2/m (10)

=====

# 5
This record from Alexandria via LeMat-Bulk describes a relaxed structure of PIrO. The functional is PBE.

The structure in POSCAR format:
```
PIrO
1.0
2.898 0.000 -0.033
0.000 9.808 0.000
-2.878 0.000 2.961
P Ir O
2 2 2
Cartesian
0.010 5.259 1.464 P
1.449 0.355 -0.017 P
0.010 1.522 1.464 Ir
1.449 6.426 -0.017 Ir
0.010 3.757 1.464 O
1.449 8.661 -0.017 O
```

Calculated values
calculated total energy	-7.16	eV per atom
E_form (uncorrected)	-0.75	eV/atom
space-group type	C2 (5)
ΔE to the lowest computed polymorph	0.275	eV/atom

=====

# 6
This record from Alexandria via LeMat-Bulk describes a relaxed structure of Na3PbC. The functional is PBE.

The structure in POSCAR format:
```
Na3PbC
1.0
6.003 0.000 0.000
0.000 6.003 0.000
0.000 0.000 6.003
Pb Na C
1 3 1
Cartesian
0.000 0.000 0.000 Pb
0.000 3.002 0.000 Na
0.000 0.000 3.002 Na
3.002 0.000 0.000 Na
3.002 3.002 3.002 C
```

Calculated values
calculated total energy	-1.96	eV per atom
space-group type	Pm-3m (221)
ΔE to the lowest computed polymorph	0.574	eV/atom